Entry 1:
Below is a relaxed structure of Ba2CeZrO6, with properties calculated at the PBEsol level.

The structure in POSCAR format:
```
Ba2CeZrO6
1.0
-3.1798 -2.7476 0.8780
0.7009 -2.0036 -3.7318
5.6547 -5.2961 3.9055
Ba Ce Zr O
2 1 1 6
direct
0.5000 0.5000 0.2626 Ba
0.5000 0.5000 0.7374 Ba
0.0000 0.0000 0.0000 Ce
0.0000 0.0000 0.5000 Zr
0.0000 0.0000 0.2626 O
0.0000 0.0000 0.7374 O
0.0000 0.5000 0.0000 O
0.0000 0.5000 0.5000 O
0.5000 0.0000 0.0000 O
0.5000 0.0000 0.5000 O
```

Values from the calculation:
* total moment: 0.00 μB/cell
* uncorrected energy: -83.56 eV per cell


Entry 2:
Below is a relaxed structure of Zr2NbAlTe, with properties calculated at the PBEsol level.

The structure in POSCAR format:
```
Zr2NbAlTe
1.0
-3.1425 3.3198 0.9598
-1.0910 -2.2746 4.2959
3.5206 2.6660 2.3057
Nb Te Al Zr
1 1 1 2
direct
0.5000 0.0000 0.0000 Nb
0.5000 0.5000 0.5000 Te
0.0000 0.0000 0.0000 Al
0.0000 0.0000 0.5000 Zr
0.0000 0.5000 0.0000 Zr
```

Values from the calculation:
* total moment: 0.00 μB/cell
* uncorrected energy: -33.43 eV per cell


Entry 3:
Below is a relaxed structure of RbP2NCl, with properties calculated at the PBEsol level.

The structure in POSCAR format:
```
RbP2NCl
1.0
-2.1629 1.2288 -3.1242
-3.2232 -1.7993 1.5237
-1.7345 6.1835 3.6329
P N Rb Cl
2 1 1 1
direct
0.0000 0.5000 0.0000 P
0.5000 0.0000 0.0000 P
0.0000 0.0000 0.0000 N
0.5000 0.5000 0.5000 Rb
0.0000 0.0000 0.5000 Cl
```

Values from the calculation:
* total moment: 0.00 μB/cell
* uncorrected energy: -21.58 eV per cell


Entry 4:
Below is a relaxed structure of Ca3Si3Ni2O12, with properties calculated at the PBEsol level.

The structure in POSCAR format:
```
Ca3Si3Ni2O12
1.0
-0.2047 5.0894 8.9660
-9.5968 -0.8919 -3.6660
4.0054 -9.3881 1.4673
Ca Si Ni O
12 12 8 48
direct
0.7500 0.8750 0.1250 Ca
0.2500 0.6250 0.3750 Ca
0.6250 0.8750 0.7500 Ca
0.8750 0.6250 0.2500 Ca
0.7500 0.3750 0.6250 Ca
0.8750 0.2500 0.1250 Ca
0.3750 0.2500 0.6250 Ca
0.2500 0.1250 0.8750 Ca
0.1250 0.7500 0.8750 Ca
0.1250 0.3750 0.7500 Ca
0.3750 0.1250 0.2500 Ca
0.6250 0.7500 0.3750 Ca
0.8750 0.7500 0.6250 Si
0.1250 0.2500 0.3750 Si
0.2500 0.8750 0.6250 Si
0.8750 0.1250 0.7500 Si
0.7500 0.6250 0.8750 Si
0.6250 0.3750 0.2500 Si
0.6250 0.2500 0.8750 Si
0.1250 0.8750 0.2500 Si
0.3750 0.6250 0.7500 Si
0.2500 0.3750 0.1250 Si
0.7500 0.1250 0.3750 Si
0.3750 0.7500 0.1250 Si
0.5000 0.5000 0.5000 Ni
0.5000 0.5000 0.0000 Ni
0.0000 0.5000 0.5000 Ni
0.0000 0.5000 0.0000 Ni
0.5000 0.0000 0.0000 Ni
0.0000 0.0000 0.5000 Ni
0.5000 0.0000 0.5000 Ni
0.0000 0.0000 0.0000 Ni
0.4140 0.7987 0.3091 O
0.6153 0.5104 0.2013 O
0.7013 0.6153 0.0104 O
0.5104 0.7013 0.1153 O
0.6909 0.7013 0.5860 O
0.8847 0.0860 0.8952 O
0.6153 0.1048 0.9140 O
0.1048 0.6909 0.4896 O
0.8091 0.3952 0.0104 O
0.5104 0.8091 0.8952 O
0.1048 0.4140 0.1153 O
0.3952 0.5104 0.3091 O
0.0860 0.6909 0.2013 O
0.7013 0.0860 0.1909 O
0.4140 0.6153 0.6048 O
0.7987 0.9896 0.3847 O
0.9896 0.8847 0.2987 O
0.0860 0.3952 0.3847 O
0.9896 0.1048 0.1909 O
0.1909 0.6048 0.9896 O
0.8091 0.4140 0.2987 O
0.3952 0.8847 0.5860 O
0.7987 0.8091 0.9140 O
0.8847 0.7987 0.4896 O
0.5860 0.2013 0.6909 O
0.3847 0.4896 0.7987 O
0.2987 0.3847 0.9896 O
0.4896 0.2987 0.8847 O
0.3091 0.2987 0.4140 O
0.1153 0.9140 0.1048 O
0.3847 0.8952 0.0860 O
0.8952 0.3091 0.5104 O
0.1153 0.2013 0.5104 O
0.2013 0.1909 0.0860 O
0.6048 0.1153 0.4140 O
0.3091 0.0104 0.3952 O
0.1909 0.5860 0.7013 O
0.0104 0.8952 0.8091 O
0.9140 0.6048 0.6153 O
0.0104 0.1153 0.7013 O
0.2013 0.0104 0.6153 O
0.5860 0.3847 0.3952 O
0.2987 0.9140 0.8091 O
0.9140 0.3091 0.7987 O
0.6048 0.4896 0.6909 O
0.8952 0.5860 0.8847 O
0.4896 0.1909 0.1048 O
0.6909 0.9896 0.6048 O
```

Values from the calculation:
* total moment: 8.00 μB/cell
* uncorrected energy: -589.40 eV per cell


Entry 5:
Below is a relaxed structure of Gd5AgSe8, with properties calculated at the PBEsol level.

The structure in POSCAR format:
```
Gd5AgSe8
1.0
-2.1340 -7.0243 -1.3232
7.3610 0.0717 1.2063
-3.5767 2.6526 5.9847
Gd Ag Se
5 1 8
direct
0.3663 0.9882 0.1194 Gd
0.0118 0.1311 0.3781 Gd
0.8689 0.2469 0.8806 Gd
0.5000 0.5000 0.0000 Gd
0.7531 0.6337 0.6219 Gd
0.2500 0.7500 0.5000 Ag
0.6146 0.8643 0.8877 Se
0.1357 0.0235 0.7504 Se
0.2731 0.3854 0.2496 Se
0.4872 0.2458 0.6040 Se
0.1168 0.5128 0.7586 Se
0.7542 0.3582 0.2414 Se
0.9765 0.7269 0.1123 Se
0.6418 0.8832 0.3960 Se
```

Values from the calculation:
* total moment: 21.00 μB/cell
* uncorrected energy: -130.31 eV per cell


Entry 6:
Below is a relaxed structure of BaTaTc2, with properties calculated at the PBEsol level.

The structure in POSCAR format:
```
BaTaTc2
1.0
4.6902 0.0000 0.0000
2.3451 4.0618 0.0000
2.3451 1.3539 3.8295
Ba Ta Tc
1 1 2
direct
0.5000 0.5000 0.5000 Ba
0.2500 0.2500 0.2500 Ta
0.0000 0.0000 0.0000 Tc
0.7500 0.7500 0.7500 Tc
```

Values from the calculation:
* total moment: 0.00 μB/cell
* uncorrected energy: -32.74 eV per cell
* formation energy: 1.12 eV/atom